Here is K2RbTbV2O8 at its PBEsol-relaxed geometry from Alexandria. Energies are from SCAN.

POSCAR file:
```
K2RbTbV2O8
1.0
5.9354 0.0000 0.0000
-2.9677 5.1402 0.0000
0.0000 0.0000 7.6155
K Rb Tb V O
2 1 1 2 8
direct
0.3333 0.6667 0.1894
0.6667 0.3333 0.8106
0.0000 0.0000 0.5000
0.0000 0.0000 0.0000
0.3333 0.6667 0.7441
0.6667 0.3333 0.2559
0.1752 0.3504 0.8242
0.1752 0.8248 0.8242
0.3333 0.6667 0.5267
0.3504 0.1752 0.1758
0.6496 0.8248 0.8242
0.6667 0.3333 0.4733
0.8248 0.1752 0.1758
0.8248 0.6496 0.1758
```

Output
space group	No. 164
DOS at the Fermi energy	0.0	states/eV/f.u.
raw total energy	-208.498	eV for the cell shown
magnetic moment	0.000	μB per atom

Here is KReO4 at its PBEsol-relaxed geometry from Alexandria. Energies are from SCAN.

POSCAR file:
```
KReO4
1.0
0.0000 4.5910 6.4356
3.7233 0.0000 6.4356
3.7233 4.5910 0.0000
K Re O
2 2 8
direct
0.1250 0.1250 0.1250
0.8750 0.8750 0.8750
0.3750 0.3750 0.3750
0.6250 0.6250 0.6250
0.2064 0.6989 0.3262
0.2685 0.3262 0.6989
0.3011 0.7936 0.7315
0.3262 0.2685 0.2064
0.6738 0.7315 0.7936
0.6989 0.2064 0.2685
0.7315 0.6738 0.3011
0.7936 0.3011 0.6738
```

Output
space group	No. 70
DOS at the Fermi energy	0.0	states/eV/f.u.
raw total energy	-231.923	eV for the cell shown
magnetic moment	0.000	μB per atom

Here is K3ReO at its PBEsol-relaxed geometry from Alexandria. Energies are from SCAN.

POSCAR file:
```
K3ReO
1.0
5.2632 0.0000 0.0000
0.0000 5.2632 0.0000
0.0000 0.0000 5.2632
K Re O
3 1 1
direct
0.0000 0.0000 0.5000
0.0000 0.5000 0.0000
0.5000 0.0000 0.0000
0.5000 0.5000 0.5000
0.0000 0.0000 0.0000
```

Output
space group	No. 221
DOS at the Fermi energy	4.6	states/eV/f.u.
raw total energy	-99.385	eV for the cell shown
magnetic moment	0.810	μB per atom

Here is KRuO3 at its PBEsol-relaxed geometry from Alexandria. Energies are from SCAN.

POSCAR file:
```
KRuO3
1.0
3.8586 0.0000 0.0000
0.0000 3.8586 0.0000
0.0000 0.0000 3.8586
K Ru O
1 1 3
direct
0.0000 0.0000 0.0000
0.5000 0.5000 0.5000
0.0000 0.5000 0.5000
0.5000 0.0000 0.5000
0.5000 0.5000 0.0000
```

Output
space group	No. 221
DOS at the Fermi energy	3.1	states/eV/f.u.
raw total energy	-68.577	eV for the cell shown
magnetic moment	0.389	μB per atom

Here is K2RuO5 at its PBEsol-relaxed geometry from Alexandria. Energies are from SCAN.

POSCAR file:
```
K2RuO5
1.0
6.1814 0.0000 0.0000
0.0000 7.8106 0.0000
0.0000 0.0000 11.3463
K Ru O
8 4 20
direct
0.0127 0.1517 0.3231
0.0468 0.6192 0.5490
0.4532 0.3808 0.0490
0.4873 0.8483 0.8231
0.5127 0.3483 0.6769
0.5468 0.8808 0.4510
0.9532 0.1192 0.9510
0.9873 0.6517 0.1769
0.0644 0.0637 0.6388
0.4356 0.9363 0.1388
0.5644 0.4363 0.3612
0.9356 0.5637 0.8612
0.0611 0.4604 0.9850
0.1145 0.2534 0.5621
0.1787 0.5580 0.7813
0.2131 0.1280 0.7681
0.2378 0.1038 0.1277
0.2622 0.8962 0.6277
0.2869 0.8720 0.2681
0.3213 0.4420 0.2813
0.3855 0.7466 0.0621
0.4389 0.5396 0.4850
0.5611 0.0396 0.0150
0.6145 0.2466 0.4379
0.6787 0.9420 0.2187
0.7131 0.3720 0.2319
0.7378 0.3962 0.8723
0.7622 0.6038 0.3723
0.7869 0.6280 0.7319
0.8213 0.0580 0.7187
0.8855 0.7534 0.9379
0.9389 0.9604 0.5150
```

Output
space group	No. 19
raw total energy	-370.137	eV for the cell shown
magnetic moment	0.008	μB per atom

Here is K2SO4 at its PBEsol-relaxed geometry from Alexandria. Energies are from SCAN.

POSCAR file:
```
K2SO4
1.0
2.9448 -4.9381 0.0000
2.9448 4.9381 0.0000
0.0000 0.0000 7.8631
K S O
4 2 8
direct
0.0000 0.0000 0.0000
0.0000 0.0000 0.5000
0.3103 0.6897 0.7500
0.6897 0.3103 0.2500
0.3482 0.6518 0.2500
0.6518 0.3482 0.7500
0.2299 0.3571 0.2500
0.2615 0.7385 0.0958
0.2615 0.7385 0.4042
0.3571 0.2299 0.7500
0.6429 0.7701 0.2500
0.7385 0.2615 0.5958
0.7385 0.2615 0.9042
0.7701 0.6429 0.7500
```

Output
space group	No. 63
DOS at the Fermi energy	0.0	states/eV/f.u.
raw total energy	-131.842	eV for the cell shown
magnetic moment	0.014	μB per atom
excess energy over the best structure of this formula in the dataset	26.6	meV/atom